Material: Tb3Y12Cd
Method: DFT, PBE
State: optimized geometry

Unit cell a=4.993 b=4.993 c=20.226 alpha=90.00 beta=90.00 gamma=90.00
Space group P4/mmm (No. 123)
Inequivalent atoms, fractional coordinates:
Tb 0.000 0.000 0.000
Tb 0.000 0.000 0.252
Y 0.000 0.500 0.127
Y 0.000 0.500 0.379
Y 0.500 0.500 0.000
Y 0.500 0.500 0.256
Y 0.500 0.500 0.500
Cd 0.000 0.000 0.500

Calculated values
formation energy = 0.00 eV per atom
V = 31.51 A^3/atom

***

Material: AcZnCd
Method: DFT, PBE
State: optimized geometry

Unit cell a=7.124 b=7.124 c=7.124 alpha=90.00 beta=90.00 gamma=90.00
Space group F-43m (No. 216)
Inequivalent atoms, fractional coordinates:
Ac 0.000 0.000 0.000
Zn 0.250 0.250 0.250
Cd 0.000 0.000 0.500

Calculated values
formation energy = -0.17 eV per atom
polymorph energy (0 for the lowest one) = 127 meV/atom
V = 30.12 A^3/atom

***

Material: CdB2Br8
Method: DFT, PBE
State: optimized geometry

Unit cell a=18.138 b=9.384 c=11.478 alpha=90.00 beta=125.83 gamma=90.00
Space group C2/c (No. 15)
Inequivalent atoms, fractional coordinates:
Cd 0.000 0.007 0.250
B 0.089 0.234 0.544
Br 0.045 0.223 0.126
Br 0.100 0.214 0.734
Br 0.146 0.415 0.552
Br 0.155 0.064 0.528

Calculated values
polymorph energy (0 for the lowest one) = 0 meV/atom
V = 36.00 A^3/atom
E_form (uncorrected) = -0.544 eV per atom

***

Material: BaTaRu
Method: DFT, PBE
State: optimized geometry

Unit cell a=6.605 b=6.605 c=6.605 alpha=90.00 beta=90.00 gamma=90.00
Space group F-43m (No. 216)
Inequivalent atoms, fractional coordinates:
Ba 0.000 0.000 0.000
Ta 0.250 0.250 0.250
Ru 0.250 0.250 0.750

Calculated values
formation energy = 2.21 eV per atom
polymorph energy (0 for the lowest one) = 1868 meV/atom
V = 24.01 A^3/atom

***

Short version: magnetic moment = 0.00 0.00 0.00 0.00 μB per atom, in the order given.
Short version: uncorrected energy = -0.425 -0.167 -0.225 -0.402 Ry per atom, in the order given.
Short version: density of states at the Fermi level = 21.55 4.43 0.00 3.90 states/eV/f.u., in the order given.